# 1
First-principles (GGA-PBE) data for a relaxed structure of LiPu2Si, as listed in the Alexandria database.

a = 4.7472 Å, b = 3.5508 Å, c = 3.5508 Å
α = 90.00°, β = 90.00°, γ = 90.00°
Sites, in units of the cell vectors:
Pu (0.0000, 0.0000, 0.5000)
Pu (0.0000, 0.5000, 0.0000)
Si (0.5000, 0.0000, 0.0000)
Li (0.5000, 0.5000, 0.5000)

Output
Density of states at the Fermi level in states/eV/atom: 1.416
Formation energy from raw total energies in eV per formula unit: 0.5
Symmetry: P4/mmm (123)

=====

# 2
First-principles (GGA-PBE) data for a relaxed structure of NdHg2Te, as listed in the Alexandria database.

a = 3.5239 Å, b = 3.5239 Å, c = 11.8090 Å
α = 81.42°, β = 81.42°, γ = 60.00°
Sites, in units of the cell vectors:
Te (0.5000, 0.5000, 0.5000)
Nd (0.0000, 0.0000, 0.0000)
Hg (0.0892, 0.0892, 0.7325)
Hg (0.9108, 0.9108, 0.2675)

Output
Density of states at the Fermi level in states/eV/atom: 0.913
Distance to the lowest polymorph of the same formula in eV per atom: 0.715
Formation energy from raw total energies in eV per formula unit: 0.4
Symmetry: R-3m (166)

=====

# 3
First-principles (GGA-PBE) data for a relaxed structure of LaNd2Tl3S6, as listed in the Alexandria database.

a = 7.3041 Å, b = 7.3041 Å, c = 7.8631 Å
α = 98.90°, β = 98.90°, γ = 120.00°
Sites, in units of the cell vectors:
S (0.4053, 0.0682, 0.2047)
S (0.5947, 0.9318, 0.7953)
S (0.0682, 0.4053, 0.2047)
S (0.7309, 0.7309, 0.2038)
S (0.9318, 0.5947, 0.7953)
S (0.2691, 0.2691, 0.7962)
La (0.0000, 0.0000, 0.0000)
Nd (0.3334, 0.6666, 0.0000)
Nd (0.6666, 0.3334, 0.0000)
Tl (0.8330, 0.1670, 0.5000)
Tl (0.1670, 0.8330, 0.5000)
Tl (0.5000, 0.5000, 0.5000)

Output
Density of states at the Fermi level in states/eV/atom: 0.000
Formation energy from raw total energies in eV per formula unit: -17.7
Symmetry: C2/m (12)

=====

# 4
First-principles (GGA-PBE) data for a relaxed structure of TbThN, as listed in the Alexandria database.

a = 7.5356 Å, b = 7.5356 Å, c = 7.6338 Å
α = 128.53°, β = 128.53°, γ = 74.80°
Sites, in units of the cell vectors:
Th (0.3642, 0.3642, 0.0000)
Th (0.6358, 0.6358, 0.0000)
Th (0.6142, 0.1142, 0.5000)
Th (0.8858, 0.3858, 0.5000)
N (0.3019, 0.3019, 0.6038)
N (0.6981, 0.6981, 0.3962)
N (0.5519, 0.0519, 0.1038)
N (0.9481, 0.4481, 0.8962)
Tb (0.6250, 0.8750, 0.7500)
Tb (0.1250, 0.8750, 0.7500)
Tb (0.1250, 0.8750, 0.2500)
Tb (0.1250, 0.3750, 0.2500)

Output
Density of states at the Fermi level in states/eV/atom: 0.915
Distance to the lowest polymorph of the same formula in eV per atom: 0.299
Formation energy from raw total energies in eV per formula unit: -1.8
Symmetry: Fddd (70)